A plane-wave DFT calculation with PBE was carried out for crystalline Tc8Ge at its relaxed geometry.

Output
* size of the total moment: 0.000 μB/f.u.
* E_form: 0.1450 eV/atom

Lattice parameters (Å, degrees): 6.7351 6.7351 6.7351 92.96 92.96 153.72
Last column: nearest neighbours and their distance in Å.
Sites, in units of the cell vectors:
Tc  0.0000  0.3363  0.3363  8 Tc 2.64-2.69
Tc  0.0000  0.6637  0.6637  8 Tc 2.64-2.69
Tc  0.3363  0.0000  0.3363  8 Tc 2.64-2.69
Tc  0.3364  0.3364  0.6728  2 Ge 2.64, 6 Tc 2.69-2.74
Tc  0.3364  0.6636  0.0000  2 Ge 2.64, 6 Tc 2.69-2.74
Tc  0.6637  0.0000  0.6637  8 Tc 2.64-2.69
Tc  0.6636  0.3364  0.0000  2 Ge 2.64, 6 Tc 2.69-2.74
Tc  0.6636  0.6636  0.3272  2 Ge 2.64, 6 Tc 2.69-2.74
Ge  0.0000  0.0000  0.0000  8 Tc 2.64